! Li2Dy3ErS6, relaxed, DFT PBE; values from VASP
! formation energy from raw total energies: -1.908 eV per atom
! total magnetization: 0.000 μB/atom
&SYSTEM
  ibrav = 0, nat = 12, ntyp = 4
/
ATOMIC_SPECIES
S 32.06 S.upf
Dy 162.50 Dy.upf
Er 167.26 Er.upf
Li 6.94 Li.upf
ATOMIC_POSITIONS angstrom
S 2.2478 0.0011 1.5243
S -0.0169 3.8618 4.7724
S 0.0085 0.0147 4.7593
S -1.1224 1.9475 1.5243
S 2.2225 3.8482 1.5374
S 3.3534 1.9153 4.7724
Dy 1.1155 1.9314 3.1483
Dy -2.2192 3.8573 3.1483
Dy 4.4501 0.0056 3.1483
Er 0.0000 0.0000 0.0000
Li 3.3498 1.9282 0.0013
Li -0.0040 3.8651 0.0013
CELL_PARAMETERS angstrom
6.6891 -0.0003 0.0013
-3.3432 5.7937 0.0013
-1.1149 -1.9304 6.2941

! Li3DyEr2S6, relaxed, DFT PBE; values from VASP
! formation energy from raw total energies: -1.856 eV per atom
! total magnetization: 0.000 μB/atom
&SYSTEM
  ibrav = 0, nat = 12, ntyp = 4
/
ATOMIC_SPECIES
Er 167.26 Er.upf
S 32.06 S.upf
Li 6.94 Li.upf
Dy 162.50 Dy.upf
ATOMIC_POSITIONS angstrom
Er -3.5169 1.5903 -0.4799
Er -3.1963 -2.0839 0.7545
S -4.4372 0.1641 1.6411
S -0.9413 -1.4409 2.1236
S -1.2641 2.2579 0.8810
S -3.1175 -0.6160 5.1444
S -3.4403 3.0828 3.9017
S 0.0555 1.4778 4.3843
Li -1.8706 -2.8483 4.2454
Li -2.1908 0.8210 3.0127
Li -2.5110 4.4903 1.7799
Dy 0.0000 0.0000 0.0000
CELL_PARAMETERS angstrom
-3.8377 5.2654 -1.7146
-2.8755 -5.7590 1.9892
2.3316 2.1355 5.7507

! Li4DyEr3S8, relaxed, DFT PBE; values from VASP
! formation energy from raw total energies: -1.857 eV per atom
! total magnetization: 0.000 μB/atom
&SYSTEM
  ibrav = 0, nat = 16, ntyp = 4
/
ATOMIC_SPECIES
Er 167.26 Er.upf
Li 6.94 Li.upf
S 32.06 S.upf
Dy 162.50 Dy.upf
ATOMIC_POSITIONS angstrom
Er 1.9435 1.8742 2.6939
Er -1.9435 1.8742 2.6939
Er 3.8869 3.8160 -0.0542
Li -1.9435 -1.9418 2.7482
Li 3.8869 0.0000 0.0000
Li 1.9435 -1.9418 2.7482
Li 0.0000 0.0000 0.0000
S -1.9322 1.8400 5.4089
S 1.9322 1.8400 5.4089
S 0.0000 -0.0252 2.7251
S 0.0000 3.7705 2.6765
S 3.8869 -0.0221 2.7114
S 5.8191 1.9084 -0.0210
S 1.9547 1.9084 -0.0210
S 3.8869 3.7736 2.6628
Dy 0.0000 3.8160 -0.0542
CELL_PARAMETERS angstrom
7.7738 0.0000 0.0000
0.0000 7.6319 -0.1085
-3.8869 -3.8835 5.4964

! LiDy3Er3S8, relaxed, DFT PBE; values from VASP
! formation energy from raw total energies: -1.996 eV per atom
! total magnetization: 0.000 μB/atom
&SYSTEM
  ibrav = 0, nat = 15, ntyp = 4
/
ATOMIC_SPECIES
S 32.06 S.upf
Er 167.26 Er.upf
Li 6.94 Li.upf
Dy 162.50 Dy.upf
ATOMIC_POSITIONS angstrom
S 0.1289 0.1447 2.7358
S 1.1561 2.8244 5.2739
S -5.0430 1.8215 2.8972
S -1.6072 3.5578 2.6073
S -6.0702 -0.8583 0.3591
S -2.5894 0.9023 0.1015
S -2.3247 1.0638 5.5315
S -3.3069 -1.5916 3.0257
Er 0.9803 2.7216 2.5621
Er -5.1858 1.7070 0.1834
Er -2.4571 0.9831 2.8165
Li -1.7484 3.4456 -0.0709
Dy 2.7287 -0.7240 2.6331
Dy -0.7087 -2.4625 2.8874
Dy 0.0000 0.0000 0.0000
CELL_PARAMETERS angstrom
-6.8748 -3.4771 0.5087
5.4574 -1.4479 5.2661
-3.4967 6.8912 -0.1418